A relaxed structure of AcCdP2, computed with GGA-PBE.

Unit cell a=4.3908 b=4.3908 c=18.0780 alpha=90.00 beta=90.00 gamma=120.00
Space group R-3m (No. 166, hexagonal axes)
One atom of each set of equivalent atoms:
Ac 0.0000 0.0000 0.0000 [3 per cell]
Cd 0.0000 0.0000 0.5000 [3 per cell]
P 0.0000 0.0000 0.2398 [6 per cell]

Its energy above the most stable polymorph in this dataset is 0 meV/atom. Its formation energy from the elements is -506 meV/atom. As for the density of states at the Fermi level: 14.456 states/eV per cell.

A relaxed structure of KCuSe, computed with GGA-PBE.

Unit cell a=5.175 b=5.213 c=11.335 alpha=90.00 beta=90.00 gamma=90.00
Space group Fmm2 (No. 42)
One atom of each set of equivalent atoms:
K 0.000 0.000 0.000 [4 per cell]
Cu 0.000 0.000 0.743 [4 per cell]
Se 0.000 0.000 0.274 [4 per cell]

As for the density of states at the Fermi level: 5.953 states/eV per cell. The formation energy from raw total energies comes out at -27.84 kJ/mol of atoms.

A relaxed structure of BaDy2TcN4, computed with GGA-PBE.

Unit cell a=3.487 b=12.368 c=12.108 alpha=90.00 beta=90.00 gamma=90.00
Space group Cmcm (No. 63)
One atom of each set of equivalent atoms:
Ba 0.000 0.071 0.250 [4 per cell]
Dy 0.000 0.371 0.041 [8 per cell]
Tc 0.000 0.192 0.750 [4 per cell]
N 0.000 0.000 0.000 [4 per cell]
N 0.000 0.256 0.609 [8 per cell]
N 0.000 0.394 0.250 [4 per cell]

As for the density of states at the Fermi level: 12.663 states/eV per cell. The formation energy from raw total energies comes out at -95.33 kJ/mol of atoms.

A relaxed structure of DyZrTlZn, computed with GGA-PBE.

Unit cell a=7.152 b=7.152 c=7.152 alpha=90.00 beta=90.00 gamma=90.00
Space group F-43m (No. 216)
One atom of each set of equivalent atoms:
Dy 0.000 0.000 0.000 [4 per cell]
Zr 0.000 0.000 0.500 [4 per cell]
Tl 0.250 0.250 0.750 [4 per cell]
Zn 0.250 0.250 0.250 [4 per cell]

Its formation energy from the elements is -168 meV/atom. As for the density of states at the Fermi level: 12.189 states/eV per cell.

A relaxed structure of CaNdZnRh, computed with GGA-PBE.

Unit cell a=7.138 b=7.138 c=7.138 alpha=90.00 beta=90.00 gamma=90.00
Space group F-43m (No. 216)
One atom of each set of equivalent atoms:
Ca 0.000 0.000 0.000 [4 per cell]
Nd 0.000 0.000 0.500 [4 per cell]
Zn 0.250 0.250 0.250 [4 per cell]
Rh 0.250 0.250 0.750 [4 per cell]

Its energy above the most stable polymorph in this dataset is 87 meV/atom. Its formation energy from the elements is -393 meV/atom. As for the density of states at the Fermi level: 17.948 states/eV per cell.

A relaxed structure of Y2Nb2In, computed with GGA-PBE.

Unit cell a=7.533 b=7.533 c=4.315 alpha=90.00 beta=90.00 gamma=90.00
Space group P4/mbm (No. 127)
One atom of each set of equivalent atoms:
Y 0.175 0.325 0.000 [4 per cell]
Nb 0.123 0.623 0.500 [4 per cell]
In 0.000 0.000 0.500 [2 per cell]

Its formation energy from the elements is 93 meV/atom. As for the density of states at the Fermi level: 10.297 states/eV per cell.

What are the final energy values for these records? In order: -53.6; -38.2; -250.8; -69.8; -67.9; -70.7 eV for the cell shown.
What are the theoretical density values for these records? In order: 6.624; 3.945; 7.840; 9.506; 6.440; 6.489 g cm⁻³.